Here is an optimized crystal structure of NaAcPm2Hg4 from Alexandria via LeMat-Bulk. Energies are from PBE-GGA.

abc: 5.3626 5.3626 9.6657
angles: 73.89 73.89 60.00
With the nearest neighbours (Å) after each atom.
Fractional positions:
Hg 0.8732 0.8732 0.3803  4 Pm 3.18-3.25, 3 Na 3.28, 1 Ac 3.48
Hg 0.1268 0.1268 0.6197  4 Pm 3.18-3.25, 3 Na 3.28, 1 Ac 3.48
Hg 0.3828 0.3828 0.8517  1 Na 3.22, 3 Pm 3.30, 3 Ac 3.38
Hg 0.6172 0.6172 0.1483  1 Na 3.22, 3 Pm 3.30, 3 Ac 3.38
Pm 0.7575 0.7575 0.7276  7 Hg 3.18-3.30
Pm 0.2425 0.2425 0.2724  7 Hg 3.18-3.30
Na 0.5000 0.5000 0.5000  8 Hg 3.22-3.28
Ac 0.0000 0.0000 0.0000  8 Hg 3.38-3.48

Properties
The density of states at the Fermi level comes out at 6.555 states/eV/f.u. The total energy comes out at -2.4226 eV per atom. Its symmetry is R-3m, No. 166.